TaSbTe2Au | PBE | optimized geometry

```
TaSbTe2Au
1.0
-2.9971 4.0592 -1.6785
-3.6759 -3.4301 -1.7318
-2.3561 0.1805 4.6436
Te Ta Sb Au
2 1 1 1
Direct
0.5000 0.0000 0.0000
0.0000 0.5000 0.0000
0.5000 0.5000 0.5000
0.0000 0.0000 0.5000
0.0000 0.0000 0.0000
```

Results
formation energy (no corrections)	1.264	eV per atom
V	147	Å³/cell
theoretical density	8.5	g/cm³
total magnetization	0.06	Bohr magnetons per cell

---

YV2Cu | PBE | optimized geometry

```
YV2Cu
1.0
-3.1452 -2.6612 0.0110
2.3478 -2.7828 -1.9281
2.4847 -6.0952 7.4212
Y Cu V
2 2 4
Direct
0.7500 0.2500 0.5000
0.0000 0.0000 0.0000
0.5000 0.5000 0.0000
0.2500 0.7500 0.5000
0.3748 0.6250 0.2500
0.3750 0.6248 0.7500
0.3752 0.1250 0.2500
0.8750 0.6252 0.7500
```

Results
V	161	Å³/cell
calculated total energy	-6.592	eV/atom
theoretical density	5.2	g/cm³
total magnetization	0.00	Bohr magnetons per cell

---

Pr4Sb2Pb | PBE | optimized geometry

```
Pr4Sb2Pb
1.0
7.8791 0.0000 -2.7808
-3.9433 6.8187 -2.7873
0.0074 0.0000 8.3554
Sb Pr Pb
4 8 2
Direct
0.5011 0.3761 0.6250
0.8750 0.1239 0.4989
0.2489 0.6239 0.1250
0.3750 0.8761 0.7511
0.4839 0.1068 0.2366
0.6229 0.7527 0.5161
0.2661 0.2527 0.8729
0.6202 0.7473 0.0134
0.1271 0.3932 0.3798
0.9866 0.6068 0.7339
0.7634 0.2473 0.8702
0.1298 0.8932 0.3771
0.7500 0.5000 0.2500
0.0000 0.0000 0.0000
```

Results
formation energy (no corrections)	-0.904	eV per atom
V	449	Å³/cell
theoretical density	7.5	g/cm³
total magnetization	0.00	Bohr magnetons per cell

---

Nb2V5Ge3 | PBE | optimized geometry

```
Nb2V5Ge3
1.0
5.0187 -0.6817 -0.5826
1.6819 7.5262 -1.8571
1.6799 -0.6753 7.7225
Nb V Ge
4 10 6
Direct
0.4550 0.8216 0.4061
0.0450 0.5939 0.1783
0.9550 0.4061 0.8217
0.5450 0.1784 0.5939
0.2500 0.4957 0.5043
0.5668 0.7500 0.0641
0.4332 0.2500 0.9359
0.4566 0.1970 0.2625
0.9566 0.2625 0.1970
0.5434 0.8030 0.7375
0.9332 0.9359 0.2500
0.0668 0.0641 0.7500
0.0434 0.7375 0.8030
0.7500 0.5043 0.4957
0.7500 0.0125 0.9875
0.5597 0.4876 0.2004
0.4403 0.5124 0.7996
0.2500 0.9875 0.0125
0.9403 0.7995 0.5123
0.0597 0.2005 0.4877
```

Results
V	304	Å³/cell
calculated total energy	-8.139	eV/atom
theoretical density	7.2	g/cm³
total magnetization	0.00	Bohr magnetons per cell

---

NaCeH2F8 | PBE | optimized geometry

```
NaCeH2F8
1.0
4.7833 0.7731 -0.0511
1.0111 3.8596 0.0052
-0.0929 0.0519 8.5208
F Na H Ce
8 1 2 1
Direct
0.2577 0.7971 0.2152
0.3092 0.7820 0.7645
0.7423 0.2029 0.7848
0.7285 0.6599 0.0147
0.7728 0.6153 0.5099
0.2272 0.3847 0.4901
0.2715 0.3401 0.9853
0.6908 0.2180 0.2355
0.0000 0.0000 0.5000
0.5098 0.4602 0.2378
0.4902 0.5398 0.7622
0.0000 0.0000 0.0000
```

Results
V	151	Å³/cell
calculated total energy	-4.874	eV/atom
theoretical density	3.5	g/cm³
total magnetization	1.16	Bohr magnetons per cell

---

Hf8ZrSb2 | PBE | optimized geometry

```
Hf8ZrSb2
1.0
-1.2734 4.9870 -1.4054
-0.2618 -3.6591 -6.7978
-5.3779 -1.5492 5.3241
Hf Sb Zr
8 2 1
Direct
0.3137 0.5996 0.5996
0.6863 0.4004 0.4004
0.8630 0.9044 0.6852
0.5000 0.2186 0.7814
0.1370 0.3148 0.0956
0.1370 0.0956 0.3148
0.5000 0.7814 0.2186
0.8630 0.6852 0.9044
0.0000 0.3030 0.6970
0.0000 0.6970 0.3030
0.5000 0.0000 0.0000
```

Results
formation energy (no corrections)	-0.041	eV per atom
V	255	Å³/cell
theoretical density	11.5	g/cm³
total magnetization	0.00	Bohr magnetons per cell